Version w
Compound: RbCa2Cu2
Source: Alexandria via LeMat-Bulk
Functional: GGA-PBE
Structure: optimized geometry

Cell: 5.085 5.085 12.083 Å, 90.00 90.00 90.00°
Atoms (fractional coordinates):
Rb1 0.000 0.000 0.000
Rb2 0.500 0.500 0.500
Ca1 0.000 0.500 0.250
Ca2 0.000 0.500 0.750
Ca3 0.500 0.000 0.250
Ca4 0.500 0.000 0.750
Cu1 0.000 0.000 0.396
Cu2 0.000 0.000 0.604
Cu3 0.500 0.500 0.104
Cu4 0.500 0.500 0.896

As for the mass density: 3.11 Mg/m³.

=====

Version x
Compound: RbCa2Cu2
Source: Alexandria via LeMat-Bulk
Functional: GGA-PBE
Structure: optimized geometry

Cell: 9.037 9.037 3.551 Å, 90.00 90.00 90.00°
Atoms (fractional coordinates):
Rb1 0.000 0.000 0.000
Rb2 0.500 0.500 0.000
Ca1 0.132 0.368 0.000
Ca2 0.368 0.868 0.000
Ca3 0.632 0.132 0.000
Ca4 0.868 0.632 0.000
Cu1 0.152 0.652 0.500
Cu2 0.348 0.152 0.500
Cu3 0.652 0.848 0.500
Cu4 0.848 0.348 0.500

As for the mass density: 3.35 Mg/m³.

=====

Winner for stability: version w

=====

Version w
Compound: Ca2CuRe
Source: Alexandria via LeMat-Bulk
Functional: GGA-PBE
Structure: optimized geometry

Cell: 4.404 4.404 8.571 Å, 90.00 90.00 90.00°
Atoms (fractional coordinates):
Ca1 0.000 0.500 0.250
Ca2 0.000 0.500 0.750
Ca3 0.500 0.000 0.250
Ca4 0.500 0.000 0.750
Cu1 0.000 0.000 0.000
Cu2 0.500 0.500 0.500
Re1 0.000 0.000 0.500
Re2 0.500 0.500 0.000

As for the mass density: 6.59 Mg/m³.

=====

Version x
Compound: Ca2CuRe
Source: Alexandria via LeMat-Bulk
Functional: GGA-PBE
Structure: optimized geometry

Cell: 4.417 4.417 4.267 Å, 90.00 90.00 90.00°
Atoms (fractional coordinates):
Ca1 0.000 0.500 0.000
Ca2 0.500 0.000 0.000
Cu1 0.000 0.000 0.500
Re1 0.500 0.500 0.500

As for the mass density: 6.58 Mg/m³.

=====

Version y
Compound: Ca2CuRe
Source: Alexandria via LeMat-Bulk
Functional: GGA-PBE
Structure: optimized geometry

Cell: 4.358 4.358 8.825 Å, 90.00 90.00 90.00°
Atoms (fractional coordinates):
Ca1 0.000 0.000 0.000
Ca2 0.000 0.500 0.250
Ca3 0.500 0.000 0.750
Ca4 0.500 0.500 0.500
Cu1 0.000 0.500 0.750
Cu2 0.500 0.000 0.250
Re1 0.000 0.000 0.500
Re2 0.500 0.500 0.000

As for the mass density: 6.54 Mg/m³.

=====

Version z
Compound: Ca2CuRe
Source: Alexandria via LeMat-Bulk
Functional: GGA-PBE
Structure: optimized geometry

Cell: 3.331 3.331 8.456 Å, 90.00 90.00 90.00°
Atoms (fractional coordinates):
Ca1 0.000 0.000 0.000
Ca2 0.500 0.500 0.400
Cu1 0.000 0.000 0.636
Re1 0.500 0.500 0.756

As for the mass density: 5.84 Mg/m³.

=====

Winner for stability: version z

=====

Version w
Compound: Ca2CuRe
Source: Alexandria via LeMat-Bulk
Functional: GGA-PBE
Structure: optimized geometry

Cell: 11.255 2.945 5.394 Å, 90.00 108.85 90.00°
Atoms (fractional coordinates):
Ca1 0.000 0.000 0.000
Ca2 0.196 0.000 0.619
Ca3 0.500 0.500 0.000
Ca4 0.696 0.500 0.619
Cu1 0.436 0.000 0.463
Cu2 0.936 0.500 0.463
Re1 0.264 0.500 0.162
Re2 0.764 0.000 0.162

As for the mass density: 6.48 Mg/m³.

=====

Version x
Compound: Ca2CuRe
Source: Alexandria via LeMat-Bulk
Functional: GGA-PBE
Structure: optimized geometry

Cell: 3.125 3.125 29.269 Å, 90.00 90.00 120.00°
Atoms (fractional coordinates):
Ca1 0.000 0.000 0.250
Ca2 0.000 0.000 0.750
Ca3 0.333 0.667 0.416
Ca4 0.333 0.667 0.917
Ca5 0.667 0.333 0.083
Ca6 0.667 0.333 0.584
Cu1 0.000 0.000 0.000
Cu2 0.333 0.667 0.667
Cu3 0.667 0.333 0.333
Re1 0.000 0.000 0.500
Re2 0.333 0.667 0.167
Re3 0.667 0.333 0.833

As for the mass density: 6.64 Mg/m³.

=====

Winner for stability: version w

=====

Version w
Compound: Ca2CuRe
Source: Alexandria via LeMat-Bulk
Functional: GGA-PBE
Structure: optimized geometry

Cell: 2.972 3.216 8.635 Å, 90.00 90.06 90.00°
Atoms (fractional coordinates):
Ca1 0.001 0.000 0.253
Ca2 0.999 0.000 0.747
Cu1 0.500 0.500 0.500
Re1 0.500 0.500 0.000

As for the mass density: 6.64 Mg/m³.

=====

Version x
Compound: Ca2CuRe
Source: Alexandria via LeMat-Bulk
Functional: GGA-PBE
Structure: optimized geometry

Cell: 7.850 7.850 5.725 Å, 90.00 90.00 90.00°
Atoms (fractional coordinates):
Ca1 0.225 0.250 0.125
Ca2 0.250 0.725 0.375
Ca3 0.250 0.775 0.875
Ca4 0.275 0.250 0.625
Ca5 0.725 0.750 0.625
Ca6 0.750 0.225 0.875
Ca7 0.750 0.275 0.375
Ca8 0.775 0.750 0.125
Cu1 0.000 0.000 0.000
Cu2 0.000 0.500 0.250
Cu3 0.500 0.000 0.750
Cu4 0.500 0.500 0.500
Re1 0.000 0.000 0.500
Re2 0.000 0.500 0.750
Re3 0.500 0.000 0.250
Re4 0.500 0.500 0.000

As for the mass density: 6.21 Mg/m³.

=====

Version y
Compound: Ca2CuRe
Source: Alexandria via LeMat-Bulk
Functional: GGA-PBE
Structure: optimized geometry

Cell: 6.922 6.922 6.922 Å, 90.00 90.00 90.00°
Atoms (fractional coordinates):
Ca1 0.000 0.000 0.000
Ca2 0.000 0.500 0.500
Ca3 0.250 0.250 0.250
Ca4 0.250 0.750 0.750
Ca5 0.500 0.000 0.500
Ca6 0.500 0.500 0.000
Ca7 0.750 0.250 0.750
Ca8 0.750 0.750 0.250
Cu1 0.250 0.250 0.750
Cu2 0.250 0.750 0.250
Cu3 0.750 0.250 0.250
Cu4 0.750 0.750 0.750
Re1 0.000 0.000 0.500
Re2 0.000 0.500 0.000
Re3 0.500 0.000 0.000
Re4 0.500 0.500 0.500

As for the mass density: 6.61 Mg/m³.

=====

Version z
Compound: Ca2CuRe
Source: Alexandria via LeMat-Bulk
Functional: GGA-PBE
Structure: optimized geometry

Cell: 3.052 5.163 10.923 Å, 90.00 90.00 90.00°
Atoms (fractional coordinates):
Ca1 0.000 0.000 0.000
Ca2 0.000 0.500 0.199
Ca3 0.500 0.000 0.699
Ca4 0.500 0.500 0.500
Cu1 0.000 0.500 0.751
Cu2 0.500 0.000 0.251
Re1 0.000 0.000 0.434
Re2 0.500 0.500 0.934

As for the mass density: 6.37 Mg/m³.

=====

Winner for stability: version z

=====

Version w
Compound: Ca2CuRe
Source: Alexandria via LeMat-Bulk
Functional: GGA-PBE
Structure: optimized geometry

Cell: 7.082 7.082 7.082 Å, 90.00 90.00 90.00°
Atoms (fractional coordinates):
Ca1 0.250 0.250 0.250
Ca2 0.250 0.250 0.750
Ca3 0.250 0.750 0.250
Ca4 0.250 0.750 0.750
Ca5 0.750 0.250 0.250
Ca6 0.750 0.250 0.750
Ca7 0.750 0.750 0.250
Ca8 0.750 0.750 0.750
Cu1 0.000 0.000 0.000
Cu2 0.000 0.500 0.500
Cu3 0.500 0.000 0.500
Cu4 0.500 0.500 0.000
Re1 0.000 0.000 0.500
Re2 0.000 0.500 0.000
Re3 0.500 0.000 0.000
Re4 0.500 0.500 0.500

As for the mass density: 6.17 Mg/m³.

=====

Version x
Compound: Ca2CuRe
Source: Alexandria via LeMat-Bulk
Functional: GGA-PBE
Structure: optimized geometry

Cell: 9.383 2.807 6.454 Å, 90.00 95.15 90.00°
Atoms (fractional coordinates):
Ca1 0.248 0.000 0.243
Ca2 0.252 0.500 0.757
Ca3 0.748 0.500 0.243
Ca4 0.752 0.000 0.757
Cu1 0.000 0.000 0.500
Cu2 0.500 0.500 0.500
Re1 0.000 0.500 0.000
Re2 0.500 0.000 0.000

As for the mass density: 6.47 Mg/m³.

=====

Winner for stability: version w

=====

Version w
Compound: Ca3CuRe
Source: Alexandria via LeMat-Bulk
Functional: GGA-PBE
Structure: optimized geometry

Cell: 5.327 5.327 5.327 Å, 90.00 90.00 90.00°
Atoms (fractional coordinates):
Ca1 0.000 0.000 0.500
Ca2 0.000 0.500 0.000
Ca3 0.500 0.000 0.000
Cu1 0.000 0.000 0.000
Re1 0.500 0.500 0.500

As for the mass density: 4.06 Mg/m³.

=====

Version x
Compound: Ca3CuRe
Source: Alexandria via LeMat-Bulk
Functional: GGA-PBE
Structure: optimized geometry

Cell: 5.461 5.461 5.461 Å, 90.00 90.00 90.00°
Atoms (fractional coordinates):
Ca1 0.000 0.000 0.500
Ca2 0.000 0.500 0.000
Ca3 0.500 0.000 0.000
Cu1 0.500 0.500 0.500
Re1 0.000 0.000 0.000

As for the mass density: 3.77 Mg/m³.

=====

Winner for stability: version x